Compound: BeHgOs2
Source: Alexandria
Functional: PBE
Structure: relaxed

a = 2.843 Å, b = 4.577 Å, c = 4.613 Å
α = 90.00°, β = 90.00°, γ = 90.00°
Space group Pmmm (No. 47)
Inequivalent atoms, fractional coordinates:
Be: 0.000 0.000 0.000 x1
Hg: 0.500 0.500 0.000 x1
Os: 0.000 0.500 0.500 x1
Os: 0.500 0.000 0.500 x1

Output
The value obtained for the distance to the lowest polymorph of the same formula is 499 meV per atom. For the formation energy from the elements, the calculation gives 0.7689 eV per atom.

***

Compound: Li2HgRu
Source: Alexandria
Functional: PBE
Structure: relaxed

a = 2.712 Å, b = 4.322 Å, c = 5.456 Å
α = 90.00°, β = 90.00°, γ = 90.00°
Space group Pmm2 (No. 25)
Inequivalent atoms, fractional coordinates:
Li: 0.000 0.000 0.000 x1
Li: 0.500 0.500 0.263 x1
Hg: 0.500 0.500 0.746 x1
Ru: 0.000 0.000 0.492 x1

Output
For the formation energy from the elements, the calculation gives 0.1710 eV per atom.

***

Compound: CaSiSbI2
Source: Alexandria
Functional: PBE
Structure: relaxed

a = 5.526 Å, b = 5.526 Å, c = 5.505 Å
α = 90.00°, β = 90.00°, γ = 90.00°
Space group P4/mmm (No. 123)
Inequivalent atoms, fractional coordinates:
Ca: 0.000 0.000 0.000 x1
Si: 0.500 0.500 0.500 x1
Sb: 0.500 0.500 0.000 x1
I: 0.000 0.500 0.500 x2

Output
The value obtained for the distance to the lowest polymorph of the same formula is 0 meV per atom. For the formation energy without anion corrections, the calculation gives -0.10 eV per atom.

***

Compound: Sc2BeS
Source: Alexandria
Functional: PBE
Structure: relaxed

a = 6.825 Å, b = 6.825 Å, c = 6.394 Å
α = 90.00°, β = 90.00°, γ = 90.00°
Space group I-42d (No. 122)
Inequivalent atoms, fractional coordinates:
Sc: 0.243 0.250 0.125 x8
Be: 0.000 0.000 0.500 x4
S: 0.000 0.000 0.000 x4

Output
The value obtained for the distance to the lowest polymorph of the same formula is 0 meV per atom. For the formation energy without anion corrections, the calculation gives -0.44 eV per atom.

***

Compound: HoTmSnHg
Source: Alexandria
Functional: PBE
Structure: relaxed

a = 7.417 Å, b = 7.417 Å, c = 7.417 Å
α = 90.00°, β = 90.00°, γ = 90.00°
Space group F-43m (No. 216)
Inequivalent atoms, fractional coordinates:
Ho: 0.000 0.000 0.000 x4
Tm: 0.000 0.000 0.500 x4
Sn: 0.250 0.250 0.750 x4
Hg: 0.250 0.250 0.250 x4

Output
The value obtained for the distance to the lowest polymorph of the same formula is 3 meV per atom. For the formation energy from the elements, the calculation gives -0.5292 eV per atom.

***

Compound: AlTeN2O
Source: Alexandria
Functional: PBE
Structure: relaxed

a = 3.540 Å, b = 3.540 Å, c = 6.179 Å
α = 90.00°, β = 90.00°, γ = 90.00°
Space group P4/mmm (No. 123)
Inequivalent atoms, fractional coordinates:
Al: 0.000 0.000 0.000 x1
Te: 0.000 0.000 0.500 x1
N: 0.000 0.500 0.000 x2
O: 0.500 0.500 0.500 x1

Output
For the formation energy without anion corrections, the calculation gives 0.77 eV per atom.

***

Compound: SmHfAgPd
Source: Alexandria
Functional: PBE
Structure: relaxed

a = 7.009 Å, b = 7.009 Å, c = 7.009 Å
α = 90.00°, β = 90.00°, γ = 90.00°
Space group F-43m (No. 216)
Inequivalent atoms, fractional coordinates:
Sm: 0.000 0.000 0.000 x4
Hf: 0.000 0.000 0.500 x4
Ag: 0.250 0.250 0.250 x4
Pd: 0.250 0.250 0.750 x4

Output
For the formation energy from the elements, the calculation gives -0.2864 eV per atom.

***

Compound: GdErLuMg
Source: Alexandria
Functional: PBE
Structure: relaxed

a = 7.715 Å, b = 7.715 Å, c = 7.715 Å
α = 90.00°, β = 90.00°, γ = 90.00°
Space group F-43m (No. 216)
Inequivalent atoms, fractional coordinates:
Gd: 0.000 0.000 0.000 x4
Er: 0.000 0.000 0.500 x4
Lu: 0.250 0.250 0.750 x4
Mg: 0.250 0.250 0.250 x4

Output
For the formation energy from the elements, the calculation gives 0.0261 eV per atom.

***

Compound: BePF
Source: Alexandria
Functional: PBE
Structure: relaxed

a = 3.575 Å, b = 5.622 Å, c = 3.922 Å
α = 90.00°, β = 94.63°, γ = 90.00°
Space group P2/m (No. 10)
Inequivalent atoms, fractional coordinates:
Be: 0.000 0.199 0.000 x2
P: 0.233 0.500 0.316 x2
F: 0.208 0.000 0.798 x2

Output
The value obtained for the distance to the lowest polymorph of the same formula is 75 meV per atom. For the formation energy without anion corrections, the calculation gives -1.47 eV per atom.

***

Compound: Cu2Br
Source: Alexandria
Functional: PBE
Structure: relaxed

a = 6.150 Å, b = 6.150 Å, c = 6.150 Å
α = 90.00°, β = 90.00°, γ = 90.00°
Space group Fm-3m (No. 225)
Inequivalent atoms, fractional coordinates:
Cu: 0.250 0.250 0.250 x8
Br: 0.000 0.000 0.000 x4

Output
The value obtained for the distance to the lowest polymorph of the same formula is 590 meV per atom. For the formation energy without anion corrections, the calculation gives 0.59 eV per atom.

***

Compound: BaSrGaPt
Source: Alexandria
Functional: PBE
Structure: relaxed

a = 4.4912 Å, b = 4.4912 Å, c = 24.9403 Å
α = 90.00°, β = 90.00°, γ = 120.00°
Space group R3m (No. 160, hexagonal axes)
Inequivalent atoms, fractional coordinates:
Ba: 0.0000 0.0000 0.0000 x3
Sr: 0.0000 0.0000 0.8324 x3
Ga: 0.0000 0.0000 0.2454 x3
Pt: 0.0000 0.0000 0.5782 x3

Output
For the formation energy from the elements, the calculation gives -0.6621 eV per atom.

***

Compound: Th2CdSn
Source: Alexandria
Functional: PBE
Structure: relaxed

a = 4.978 Å, b = 4.978 Å, c = 4.559 Å
α = 90.00°, β = 90.00°, γ = 90.00°
Space group P4/mmm (No. 123)
Inequivalent atoms, fractional coordinates:
Th: 0.000 0.500 0.000 x2
Cd: 0.000 0.000 0.500 x1
Sn: 0.500 0.500 0.500 x1

Output
For the formation energy from the elements, the calculation gives -0.3294 eV per atom.

***

Compound: Ba2CePrO6
Source: Alexandria
Functional: PBE
Structure: relaxed

a = 9.055 Å, b = 9.055 Å, c = 9.055 Å
α = 90.00°, β = 90.00°, γ = 90.00°
Space group Fm-3m (No. 225)
Inequivalent atoms, fractional coordinates:
Ba: 0.250 0.250 0.250 x8
Ce: 0.000 0.000 0.000 x4
Pr: 0.000 0.000 0.500 x4
O: 0.000 0.000 0.243 x24

Output
The value obtained for the distance to the lowest polymorph of the same formula is 63 meV per atom. For the formation energy without anion corrections, the calculation gives -2.81 eV per atom.